# 1
This record from the Alexandria database describes an optimized crystal structure of MnV3H. The functional is PBE.

Cell: 3.807 3.807 3.807 Å, 90.00 90.00 90.00°
Last column: magnetic moment on the atom in μB.
Element x y z (fractional)
H (0.000, 0.000, 0.000)  0.00
V (0.000, 0.000, 0.500)  -0.26
V (0.500, 0.000, 0.000)  -0.26
V (0.000, 0.500, 0.000)  -0.26
Mn (0.500, 0.500, 0.500)  2.06

Values from the calculation:
E: -0.5814 Ry per atom


# 2
This record from the Alexandria database describes an optimized crystal structure of MnV2H2. The functional is PBE.

Cell: 2.823 2.823 5.704 Å, 75.67 75.67 90.00°
Element x y z (fractional)
V (0.362, 0.362, 0.276)
V (0.638, 0.638, 0.724)
H (0.250, 0.750, 0.500)
H (0.750, 0.250, 0.500)
Mn (0.000, 0.000, 0.000)

Values from the calculation:
E: -0.5138 Ry per atom


# 3
This record from the Alexandria database describes an optimized crystal structure of Mn2VH2. The functional is PBE.

Cell: 3.076 3.076 5.042 Å, 72.24 72.24 90.00°
Last column: magnetic moment on the atom in μB.
Element x y z (fractional)
H (0.750, 0.250, 0.500)  -0.03
H (0.250, 0.750, 0.500)  -0.03
Mn (0.350, 0.350, 0.301)  2.49
Mn (0.650, 0.650, 0.699)  2.49
V (0.000, 0.000, 0.000)  -1.31

Values from the calculation:
E: -0.5062 Ry per atom


# 4
This record from the Alexandria database describes an optimized crystal structure of MnV2H. The functional is PBE.

Cell: 3.935 3.935 3.935 Å, 60.00 60.00 60.00°
Element x y z (fractional)
Mn (0.500, 0.500, 0.500)
V (0.750, 0.750, 0.750)
V (0.250, 0.250, 0.250)
H (0.000, 0.000, 0.000)

Values from the calculation:
E: -0.5356 Ry per atom


> Look up the E of the fourth one.

-0.5356 Ry per atom


> Which of these has the highest E?

Mn2VH2


> Which of these has the lowest E?

MnV3H


What did the second record say?
This record from the Alexandria database describes an optimized crystal structure of MnV2H2. The functional is PBE.

Cell: 2.823 2.823 5.704 Å, 75.67 75.67 90.00°
Element x y z (fractional)
V (0.362, 0.362, 0.276)
V (0.638, 0.638, 0.724)
H (0.250, 0.750, 0.500)
H (0.750, 0.250, 0.500)
Mn (0.000, 0.000, 0.000)

Values from the calculation:
E: -0.5138 Ry per atom